Entry 1:
The following is a GGA-PBE calculation of TaTc2BRu after structural relaxation, from Alexandria via LeMat-Bulk.

```
TaTc2BRu
1.0
4.125 0.000 0.000
0.000 4.125 0.000
0.000 0.000 4.085
Ta Tc B Ru
1 2 1 1
direct
0.000 0.000 0.000
0.000 0.500 0.500
0.500 0.000 0.500
0.500 0.500 0.500
0.500 0.500 0.000
```

Properties
The crystal system is tetragonal. Its total energy is -9.8971 eV per atom.


Entry 2:
The following is a GGA-PBE calculation of Ta2TiBRu after structural relaxation, from Alexandria via LeMat-Bulk.

```
Ta2TiBRu
1.0
4.360 0.000 0.000
0.000 4.360 0.000
0.000 0.000 4.106
Ta Ti B Ru
2 1 1 1
direct
0.000 0.500 0.000
0.500 0.000 0.000
0.000 0.000 0.500
0.000 0.000 0.000
0.500 0.500 0.500
```

Properties
The crystal system is tetragonal. Its total energy is -9.5327 eV per atom.


Entry 3:
The following is a GGA-PBE calculation of Ta2TiB2Ru5 after structural relaxation, from Alexandria via LeMat-Bulk.

```
Ta2TiB2Ru5
1.0
9.347 0.000 0.000
0.000 9.347 0.000
0.000 0.000 3.019
Ta Ti B Ru
4 2 4 10
direct
0.177 0.323 0.000
0.323 0.823 0.000
0.677 0.177 0.000
0.823 0.677 0.000
0.000 0.000 0.000
0.500 0.500 0.000
0.124 0.624 0.000
0.376 0.124 0.000
0.624 0.876 0.000
0.876 0.376 0.000
0.000 0.500 0.500
0.070 0.784 0.500
0.216 0.070 0.500
0.284 0.570 0.500
0.430 0.284 0.500
0.500 0.000 0.500
0.570 0.716 0.500
0.716 0.430 0.500
0.784 0.930 0.500
0.930 0.216 0.500
```

Properties
The crystal system is tetragonal. Its total energy is -9.7325 eV per atom.